A plane-wave DFT calculation with PBE was carried out for a relaxed VTcNiP2 crystal.

abc: 3.041 3.041 8.763
angles: 90.10 90.10 59.76
Fractional coordinates of all 5 atoms:
V1 0.000 0.000 0.000
Tc1 0.671 0.671 0.765
Ni1 0.001 0.001 0.329
P1 0.003 0.003 0.583
P2 0.334 0.334 0.179

Output
For the excess energy over the best structure of this formula in the dataset, the calculation gives 218.6 meV per atom. Its electronic total energy is -0.5557 Ry/atom. As for the density of states at the Fermi level: 0.638 states/eV/atom. As for the formation enthalpy at 0 K: -0.343 eV per atom. The total magnetization comes out at 0.00 Bohr magnetons per cell.